(1)
{
  "formula": "HfNbW2",
  "functional": "PBE",
  "state": "relaxed",
  "lattice": [[3.2701, 0.0000, 0.0000], [0.0000, 3.2701, 0.0000], [0.0000, 0.0000, 6.6445]],
  "species": ["Hf", "Nb", "W", "W"],
  "frac_coords": [[0.0000, 0.0000, 0.0000], [0.0000, 0.0000, 0.5000], [0.5000, 0.5000, 0.2621], [0.5000, 0.5000, 0.7379]],
  "formation_energy_ev_per_atom": 0.057,
  "crystal_system": "tetragonal",
  "dos_at_fermi_per_ev_cell": 4.9
}


(2)
{
  "formula": "BeTlB3",
  "functional": "PBE",
  "state": "relaxed",
  "lattice": [[4.5379, 0.0000, 0.0000], [0.0000, 4.5379, 0.0000], [0.0000, 0.0000, 4.5379]],
  "species": ["Be", "Tl", "B", "B", "B"],
  "frac_coords": [[0.0000, 0.0000, 0.0000], [0.5000, 0.5000, 0.5000], [0.0000, 0.5000, 0.5000], [0.5000, 0.0000, 0.5000], [0.5000, 0.5000, 0.0000]],
  "formation_energy_ev_per_atom": 2.894,
  "crystal_system": "cubic",
  "dos_at_fermi_per_ev_cell": 2.1,
  "de_polymorph_mev_per_atom": 1220
}


(3)
{
  "formula": "Na5B7C3",
  "functional": "PBE",
  "state": "relaxed",
  "lattice": [[8.5626, 0.0000, 0.0000], [0.0000, 1.4183, 12.8199], [0.0000, -1.4183, 12.8199]],
  "species": ["Na", "Na", "Na", "Na", "Na", "Na", "Na", "Na", "Na", "Na", "B", "B", "B", "B", "B", "B", "B", "B", "B", "B", "B", "B", "B", "B", "C", "C", "C", "C", "C", "C"],
  "frac_coords": [[0.2451, 0.0000, 0.0000], [0.2465, 0.1996, 0.1996], [0.2488, 0.3996, 0.3996], [0.2494, 0.6001, 0.6001], [0.2490, 0.7996, 0.7996], [0.7512, 0.3996, 0.3996], [0.7506, 0.6001, 0.6001], [0.7510, 0.7996, 0.7996], [0.7535, 0.1996, 0.1996], [0.7549, 0.0000, 0.0000], [0.0000, 0.0733, 0.0733], [0.0000, 0.2661, 0.2661], [0.0000, 0.4603, 0.4603], [0.0000, 0.5327, 0.5327], [0.0000, 0.6693, 0.6693], [0.0000, 0.8628, 0.8628], [0.5000, 0.0675, 0.0675], [0.5000, 0.1345, 0.1345], [0.5000, 0.2663, 0.2663], [0.5000, 0.3311, 0.3311], [0.5000, 0.5296, 0.5296], [0.5000, 0.7253, 0.7253], [0.5000, 0.8711, 0.8711], [0.5000, 0.9381, 0.9381], [0.0000, 0.1370, 0.1370], [0.0000, 0.3312, 0.3312], [0.0000, 0.7341, 0.7341], [0.0000, 0.9286, 0.9286], [0.5000, 0.4676, 0.4676], [0.5000, 0.6651, 0.6651]],
  "formation_energy_ev_per_atom": 0.133,
  "crystal_system": "orthorhombic",
  "dos_at_fermi_per_ev_cell": 8.3,
  "de_polymorph_mev_per_atom": 20
}


(4)
{
  "formula": "TlPdPt14",
  "functional": "PBE",
  "state": "relaxed",
  "lattice": [[9.4059, 0.0000, 0.0000], [0.0000, 2.7972, 4.8738], [0.0000, -2.7972, 4.8738]],
  "species": ["Tl", "Pd", "Pt", "Pt", "Pt", "Pt", "Pt", "Pt", "Pt", "Pt", "Pt", "Pt", "Pt", "Pt", "Pt", "Pt"],
  "frac_coords": [[0.0000, 0.0000, 0.0000], [0.0000, 0.5003, 0.5003], [0.0000, 0.0002, 0.5009], [0.0000, 0.5009, 0.0002], [0.2490, 0.6663, 0.6663], [0.2522, 0.1677, 0.1677], [0.2533, 0.1674, 0.6638], [0.2533, 0.6638, 0.1674], [0.5000, 0.3312, 0.3312], [0.5000, 0.3320, 0.8314], [0.5000, 0.8314, 0.3320], [0.5000, 0.8314, 0.8314], [0.7467, 0.1674, 0.6638], [0.7467, 0.6638, 0.1674], [0.7478, 0.1677, 0.1677], [0.7510, 0.6663, 0.6663]],
  "formation_energy_ev_per_atom": 0.013,
  "crystal_system": "orthorhombic",
  "dos_at_fermi_per_ev_cell": 28.0
}


(5)
{
  "formula": "CdRu4Au",
  "functional": "PBE",
  "state": "relaxed",
  "lattice": [[0.0000, 3.6674, 3.6674], [3.6674, 0.0000, 3.6674], [3.6674, 3.6674, 0.0000]],
  "species": ["Cd", "Ru", "Ru", "Ru", "Ru", "Au"],
  "frac_coords": [[0.0000, 0.0000, 0.0000], [0.1259, 0.6247, 0.6247], [0.6247, 0.1259, 0.6247], [0.6247, 0.6247, 0.1259], [0.6247, 0.6247, 0.6247], [0.2500, 0.2500, 0.2500]],
  "formation_energy_ev_per_atom": 0.574,
  "crystal_system": "cubic",
  "dos_at_fermi_per_ev_cell": 8.9
}


(6)
{
  "formula": "HgCN2F",
  "functional": "PBE",
  "state": "relaxed",
  "lattice": [[4.2990, 0.0000, 0.0000], [0.0000, 4.2990, 0.0000], [0.0000, 0.0000, 4.7557]],
  "species": ["Hg", "C", "N", "N", "F"],
  "frac_coords": [[0.0000, 0.0000, 0.0000], [0.5000, 0.5000, 0.5000], [0.0000, 0.5000, 0.0000], [0.5000, 0.0000, 0.0000], [0.0000, 0.0000, 0.5000]],
  "crystal_system": "tetragonal",
  "dos_at_fermi_per_ev_cell": 4.9,
  "de_polymorph_mev_per_atom": 1348
}


(7)
{
  "formula": "Pm3P2Rh9Au",
  "functional": "PBE",
  "state": "relaxed",
  "lattice": [[6.0274, 0.0000, 0.0000], [-3.0137, 5.2199, 0.0000], [0.0000, 0.0000, 9.3608]],
  "species": ["Pm", "Pm", "Pm", "P", "P", "Rh", "Rh", "Rh", "Rh", "Rh", "Rh", "Rh", "Rh", "Rh", "Au"],
  "frac_coords": [[0.0000, 0.0000, 0.0000], [0.3333, 0.6667, 0.6831], [0.6667, 0.3333, 0.3169], [0.3333, 0.6667, 0.1581], [0.6667, 0.3333, 0.8419], [0.0000, 0.5000, 0.0000], [0.1507, 0.3013, 0.2694], [0.1507, 0.8493, 0.2694], [0.3013, 0.1507, 0.7306], [0.5000, 0.0000, 0.0000], [0.5000, 0.5000, 0.0000], [0.6987, 0.8493, 0.2694], [0.8493, 0.1507, 0.7306], [0.8493, 0.6987, 0.7306], [0.0000, 0.0000, 0.5000]],
  "formation_energy_ev_per_atom": -0.521,
  "crystal_system": "trigonal",
  "dos_at_fermi_per_ev_cell": 13.8
}


(8)
{
  "formula": "CrInRe2",
  "functional": "PBE",
  "state": "relaxed",
  "lattice": [[9.3021, 0.0000, 0.0000], [0.0000, 2.9767, 0.0000], [-1.2572, 0.0000, 4.5598]],
  "species": ["Cr", "Cr", "In", "In", "Re", "Re", "Re", "Re"],
  "frac_coords": [[0.0000, 0.0000, 0.0000], [0.5000, 0.5000, 0.0000], [0.2380, 0.0000, 0.7204], [0.7380, 0.5000, 0.7204], [0.2270, 0.5000, 0.2105], [0.4699, 0.0000, 0.4154], [0.7270, 0.0000, 0.2105], [0.9699, 0.5000, 0.4154]],
  "formation_energy_ev_per_atom": 0.461,
  "crystal_system": "monoclinic",
  "dos_at_fermi_per_ev_cell": 6.1
}


(9)
{
  "formula": "ScGaOs3",
  "functional": "PBE",
  "state": "relaxed",
  "lattice": [[4.6552, 0.0000, 0.0000], [0.0000, 4.6552, 0.0000], [0.0000, 0.0000, 4.6552]],
  "species": ["Sc", "Ga", "Os", "Os", "Os"],
  "frac_coords": [[0.0000, 0.0000, 0.0000], [0.5000, 0.5000, 0.5000], [0.0000, 0.0000, 0.5000], [0.0000, 0.5000, 0.0000], [0.5000, 0.0000, 0.0000]],
  "formation_energy_ev_per_atom": 2.245,
  "crystal_system": "cubic",
  "dos_at_fermi_per_ev_cell": 5.2,
  "de_polymorph_mev_per_atom": 1058
}


(10)
{
  "formula": "Mg3PN",
  "functional": "PBE",
  "state": "relaxed",
  "lattice": [[3.9599, 0.0000, 0.0000], [-1.9800, 3.4294, 0.0000], [0.0000, 0.0000, 13.6461]],
  "species": ["Mg", "Mg", "Mg", "Mg", "Mg", "Mg", "P", "P", "N", "N"],
  "frac_coords": [[0.0000, 0.0000, 0.2500], [0.0000, 0.0000, 0.7500], [0.3333, 0.6667, 0.0668], [0.3333, 0.6667, 0.4332], [0.6667, 0.3333, 0.5668], [0.6667, 0.3333, 0.9332], [0.3333, 0.6667, 0.2500], [0.6667, 0.3333, 0.7500], [0.0000, 0.0000, 0.0000], [0.0000, 0.0000, 0.5000]],
  "crystal_system": "hexagonal",
  "dos_at_fermi_per_ev_cell": 0.4,
  "de_polymorph_mev_per_atom": 558
}


(11)
{
  "formula": "La4S6Cl",
  "functional": "PBE",
  "state": "relaxed",
  "lattice": [[8.7692, 0.0000, 0.0000], [-4.3846, 7.5943, 0.0000], [0.0000, 0.0000, 4.0879]],
  "species": ["La", "La", "La", "La", "S", "S", "S", "S", "S", "S", "Cl"],
  "frac_coords": [[0.0000, 0.0000, 0.0000], [0.0154, 0.5077, 0.5000], [0.4923, 0.5077, 0.5000], [0.4923, 0.9846, 0.5000], [0.2101, 0.4202, 0.0000], [0.2101, 0.7899, 0.0000], [0.2784, 0.1392, 0.5000], [0.5798, 0.7899, 0.0000], [0.8608, 0.1392, 0.5000], [0.8608, 0.7216, 0.5000], [0.6667, 0.3333, 0.0000]],
  "energy_ev_per_atom": -6.178,
  "crystal_system": "hexagonal",
  "dos_at_fermi_per_ev_cell": 6.4
}


(12)
{
  "formula": "KCaTa",
  "functional": "PBE",
  "state": "relaxed",
  "lattice": [[3.4482, 0.0000, 0.0000], [1.6624, 4.5061, 0.0000], [0.0755, 0.7882, 15.5790]],
  "species": ["K", "K", "Ca", "Ca", "Ta", "Ta"],
  "frac_coords": [[0.0000, 0.0000, 0.0000], [0.4537, 0.5391, 0.7514], [0.5761, 0.4638, 0.2216], [0.7659, 0.0649, 0.5303], [0.0346, 0.5383, 0.3944], [0.3073, 0.9905, 0.3575]],
  "formation_energy_ev_per_atom": 0.514,
  "crystal_system": "triclinic",
  "dos_at_fermi_per_ev_cell": 5.3,
  "de_polymorph_mev_per_atom": 181
}


What is the formula in the eighth record? CrInRe2


Repeat the tenth record exactly.
{
  "formula": "Mg3PN",
  "functional": "PBE",
  "state": "relaxed",
  "lattice": [[3.9599, 0.0000, 0.0000], [-1.9800, 3.4294, 0.0000], [0.0000, 0.0000, 13.6461]],
  "species": ["Mg", "Mg", "Mg", "Mg", "Mg", "Mg", "P", "P", "N", "N"],
  "frac_coords": [[0.0000, 0.0000, 0.2500], [0.0000, 0.0000, 0.7500], [0.3333, 0.6667, 0.0668], [0.3333, 0.6667, 0.4332], [0.6667, 0.3333, 0.5668], [0.6667, 0.3333, 0.9332], [0.3333, 0.6667, 0.2500], [0.6667, 0.3333, 0.7500], [0.0000, 0.0000, 0.0000], [0.0000, 0.0000, 0.5000]],
  "crystal_system": "hexagonal",
  "dos_at_fermi_per_ev_cell": 0.4,
  "de_polymorph_mev_per_atom": 558
}